# 1
DyYPbC | GGA-PBE | optimized geometry

## Properties
Total magnetic moment, μB per formula unit: 0.0

Cell lengths 3.641, 3.641, 16.139 Å; angles 90.00, 90.00, 120.00 degrees
Atoms (fractional coordinates):
C 0.000 0.000 0.250
C 0.000 0.000 0.750
Dy 0.333 0.667 0.333
Dy 0.333 0.667 0.667
Pb 0.333 0.667 0.000
Pb 0.667 0.333 0.500
Y 0.667 0.333 0.167
Y 0.667 0.333 0.833

***

# 2
BaHfB2 | GGA-PBE | optimized geometry

## Properties
Total magnetic moment, μB per formula unit: 0.1

Cell lengths 4.659, 4.659, 4.659 Å; angles 60.00, 60.00, 60.00 degrees
Atoms (fractional coordinates):
B 0.000 0.000 0.000
B 0.250 0.250 0.250
Ba 0.750 0.750 0.750
Hf 0.500 0.500 0.500

***

# 3
TlPd17 | GGA-PBE | optimized geometry

Cell lengths 5.538, 5.538, 27.792 Å; angles 90.00, 90.00, 120.00 degrees
Atoms (fractional coordinates):
Pd 0.334 0.167 0.172
Pd 0.833 0.167 0.172
Pd 0.833 0.666 0.172
Pd 0.168 0.335 0.254
Pd 0.168 0.832 0.254
Pd 0.665 0.832 0.254
Pd 0.667 0.333 0.255
Pd 0.000 0.500 0.336
Pd 0.500 0.500 0.336
Pd 0.500 0.000 0.336
Pd 0.000 0.000 0.336
Pd 0.333 0.667 0.418
Pd 0.334 0.167 0.418
Pd 0.833 0.167 0.418
Pd 0.833 0.666 0.418
Pd 0.167 0.333 0.500
Pd 0.167 0.833 0.500
Pd 0.667 0.833 0.500
Pd 0.667 0.333 0.500
Pd 0.500 0.000 0.582
Pd 0.500 0.500 0.582
Pd 0.000 0.500 0.582
Pd 0.000 0.000 0.582
Pd 0.333 0.667 0.664
Pd 0.333 0.166 0.664
Pd 0.834 0.166 0.664
Pd 0.834 0.667 0.664
Pd 0.667 0.333 0.745
Pd 0.166 0.331 0.746
Pd 0.166 0.834 0.746
Pd 0.669 0.834 0.746
Pd 0.500 0.001 0.828
Pd 0.500 0.500 0.828
Pd 0.999 0.500 0.828
Tl 0.333 0.667 0.153
Tl 0.000 0.000 0.847

***

| no. | uncorrected energy (eV/cell) |
| --- | --- |
| 1 | -51.988 |
| 2 | -17.607 |
| 3 | -179.310 |